The following is a DFT calculation (PBE+U) of a relaxed LaCrO3 crystal.

a b c (Å): 7.871 7.871 4.683
angles (deg): 90.00 90.00 139.40
Site moments in Bohr magnetons follow the coordinates.
Fractional positions:
La1 0.691 0.309 0.750  -0.01
La2 0.309 0.691 0.250  -0.01
O1 0.000 0.000 0.000  -0.01
O2 0.434 0.061 0.250  0.01
O3 0.939 0.566 0.250  0.01
O4 0.566 0.939 0.750  0.01
O5 0.000 0.000 0.500  -0.01
O6 0.061 0.434 0.750  0.01
Cr1 0.908 0.092 0.750  0.98
Cr2 0.092 0.908 0.250  0.98

Values from the calculation:
Raw total energy ... -7.47 eV per atom